Density functional theory data (GGA-PBE) for Y2MoOsAu after structural relaxation.

**Volume**: 132.3 Å³/cell
**Energy relative to the elements**: 0.7247 eV per atom

a = 5.3538 Å, b = 4.6140 Å, c = 5.3538 Å
α = 90.00°, β = 90.00°, γ = 90.00°
Each line ends with the local moment (μB).
Fractional positions:
Y 0.5000 0.0000 0.0000  -0.01
Mo 0.0000 0.0000 0.0000  0.04
Y 0.0000 0.0000 0.5000  0.01
Au 0.5000 0.5000 0.5000  0.02
Os 0.0000 0.5000 0.0000  0.52